Model one:
Density functional theory data (PBE-GGA) for a relaxed FeCoTc2 crystal.

Cell lengths 4.2235, 4.2235, 4.2237 Å; angles 60.00, 60.00, 60.00 degrees
Last column: nearest neighbours and their distance in Å.
Element x y z (fractional)
Tc 0.2500 0.2500 0.2499  4 Tc 2.59, 4 Fe 2.59
Tc 0.0000 0.0000 0.0001  4 Tc 2.59, 4 Co 2.59
Fe 0.5001 0.5001 0.4998  4 Co 2.59, 4 Tc 2.59
Co 0.7499 0.7499 0.7502  4 Fe 2.59, 4 Tc 2.59

Properties
As for the density of states at the Fermi level: 1.480 states/eV per atom. As for the symmetry: F-43m (216).

Model two:
Density functional theory data (PBE-GGA) for a relaxed FeCoTc2 crystal.

Cell lengths 4.5214, 4.5214, 4.5695 Å; angles 81.13, 81.13, 33.61 degrees
Last column: nearest neighbours and their distance in Å.
Element x y z (fractional)
Co 0.5006 0.5006 0.4953  7 Tc 2.57-2.69, 3 Fe 2.58-2.60, 2 Co 2.61
Tc 0.9955 0.9955 0.0120  4 Co 2.57-2.69, 5 Tc 2.59-2.74, 3 Fe 2.61
Tc 0.7571 0.7571 0.7338  4 Fe 2.55-2.72, 3 Co 2.57-2.63, 5 Tc 2.59-2.74
Fe 0.2468 0.2468 0.2589  7 Tc 2.55-2.72, 3 Co 2.58-2.60, 2 Fe 2.61

Properties
As for the density of states at the Fermi level: 1.192 states/eV per atom. As for the symmetry: Cm (8).

Model three:
Density functional theory data (PBE-GGA) for a relaxed FeCoTc2 crystal.

Cell lengths 3.7015, 3.7018, 3.6910 Å; angles 90.00, 90.00, 90.00 degrees
Last column: nearest neighbours and their distance in Å.
Element x y z (fractional)
Co 0.5000 0.0000 0.5000  8 Tc 2.61, 4 Fe 2.62
Tc 0.0000 0.0000 0.0000  4 Co 2.61, 4 Fe 2.61, 4 Tc 2.62
Tc 0.5000 0.5000 0.0000  4 Fe 2.61, 4 Co 2.61, 4 Tc 2.62
Fe 0.0000 0.5000 0.5000  8 Tc 2.61, 4 Co 2.62

Properties
As for the density of states at the Fermi level: 1.085 states/eV per atom. As for the symmetry: P4/mmm (123).

Model four:
Density functional theory data (PBE-GGA) for a relaxed FeCoTc2 crystal.

Cell lengths 8.6190, 8.6190, 8.6190 Å; angles 17.92, 17.92, 17.92 degrees
Last column: nearest neighbours and their distance in Å.
Element x y z (fractional)
Fe 0.7542 0.7542 0.7542  3 Co 2.47, 6 Fe 2.69, 3 Tc 2.69
Tc 0.2486 0.2486 0.2486  9 Tc 2.67-2.69, 3 Co 2.67
Tc 0.0008 0.0008 0.0008  9 Tc 2.67-2.69, 3 Fe 2.69
Co 0.4964 0.4964 0.4964  3 Fe 2.47, 3 Tc 2.67, 6 Co 2.69

Properties
As for the density of states at the Fermi level: 1.023 states/eV per atom. As for the symmetry: R3m (160).

model three ends up most stable, edging out the next structure by 3.4 kJ/mol of atoms.

Model one:
Density functional theory data (PBE-GGA) for a relaxed FeCoTc2 crystal.

Cell lengths 4.4982, 4.4982, 4.4982 Å; angles 131.39, 131.39, 71.20 degrees
Last column: nearest neighbours and their distance in Å.
Element x y z (fractional)
Tc 0.0000 0.0000 0.0000  4 Co 2.60, 4 Fe 2.60, 4 Tc 2.62
Tc 0.5000 0.5000 0.0000  4 Co 2.60, 4 Fe 2.60, 4 Tc 2.62
Fe 0.7500 0.2500 0.5000  8 Tc 2.60, 4 Co 2.62
Co 0.2500 0.7500 0.5000  8 Tc 2.60, 4 Fe 2.62

Properties
As for the density of states at the Fermi level: 1.196 states/eV per atom. As for the symmetry: I4/mmm (139).

Model two:
Density functional theory data (PBE-GGA) for a relaxed FeCoTc2 crystal.

Cell lengths 2.6364, 2.6364, 7.3648 Å; angles 90.00, 90.00, 90.00 degrees
Last column: nearest neighbours and their distance in Å.
Element x y z (fractional)
Fe 0.5000 0.5000 0.7357  4 Co 2.49, 4 Tc 2.61, 4 Fe 2.64
Co 0.0000 0.0000 0.5107  4 Fe 2.49, 4 Tc 2.57, 4 Co 2.64
Tc 0.0000 0.0000 0.9828  4 Fe 2.61, 8 Tc 2.64-2.82
Tc 0.5000 0.5000 0.2709  4 Co 2.57, 8 Tc 2.64-2.82

Properties
As for the density of states at the Fermi level: 1.128 states/eV per atom. As for the symmetry: P4mm (99).

model one ends up most stable, edging out the next structure by 2.2 kJ/mol of atoms.

Model one:
Density functional theory data (PBE-GGA) for a relaxed Fe2CoTc crystal.

Cell lengths 4.3851, 4.3851, 4.3851 Å; angles 131.21, 131.21, 71.49 degrees
Last column: nearest neighbours and their distance in Å.
Element x y z (fractional)
Co 0.7500 0.2500 0.5000  8 Fe 2.54-2.56, 4 Tc 2.54
Tc 0.5000 0.5000 0.0000  8 Fe 2.54-2.56, 4 Co 2.54
Fe 0.0000 0.0000 0.0000  4 Co 2.54, 4 Fe 2.54, 4 Tc 2.56
Fe 0.2500 0.7500 0.5000  4 Tc 2.54, 4 Fe 2.54, 4 Co 2.56

Properties
As for the density of states at the Fermi level: 1.228 states/eV per atom. As for the symmetry: I-4m2 (119).

Model two:
Density functional theory data (PBE-GGA) for a relaxed Fe2CoTc crystal.

Cell lengths 3.5745, 3.5763, 3.5763 Å; angles 90.00, 90.00, 90.00 degrees
Last column: nearest neighbours and their distance in Å.
Element x y z (fractional)
Fe 0.0000 0.5000 0.5000  4 Co 2.53, 4 Tc 2.53, 4 Fe 2.53
Fe 0.0000 0.0000 0.0000  4 Tc 2.53, 4 Co 2.53, 4 Fe 2.53
Tc 0.5000 0.5000 0.0000  8 Fe 2.53, 4 Co 2.53
Co 0.5000 0.0000 0.5000  8 Fe 2.53, 4 Tc 2.53

Properties
As for the density of states at the Fermi level: 1.242 states/eV per atom. As for the symmetry: P4/mmm (123).

Model three:
Density functional theory data (PBE-GGA) for a relaxed Fe2CoTc crystal.

Cell lengths 2.5926, 3.5896, 5.0868 Å; angles 90.00, 90.00, 90.00 degrees
Last column: nearest neighbours and their distance in Å.
Element x y z (fractional)
Fe 0.0000 0.0000 0.5126  4 Fe 2.42-2.67, 4 Co 2.52, 4 Tc 2.59
Fe 0.0000 0.0000 0.9874  4 Fe 2.42-2.67, 4 Co 2.52, 4 Tc 2.59
Tc 0.5000 0.5000 0.2500  2 Co 2.54, 8 Fe 2.59, 2 Tc 2.59
Co 0.5000 0.5000 0.7500  8 Fe 2.52, 2 Tc 2.54, 2 Co 2.59

Properties
As for the density of states at the Fermi level: 1.217 states/eV per atom. As for the symmetry: Pmmm (47).

Model four:
Density functional theory data (PBE-GGA) for a relaxed Fe2CoTc crystal.

Cell lengths 4.1038, 4.1038, 4.1038 Å; angles 60.00, 60.00, 60.00 degrees
Last column: nearest neighbours and their distance in Å.
Element x y z (fractional)
Tc 0.7500 0.7500 0.7500  4 Fe 2.51, 4 Co 2.51
Fe 0.0000 0.0000 0.0000  4 Fe 2.51, 4 Tc 2.51
Fe 0.2500 0.2500 0.2500  4 Fe 2.51, 4 Co 2.51
Co 0.5000 0.5000 0.5000  4 Fe 2.51, 4 Tc 2.51

Properties
As for the density of states at the Fermi level: 1.104 states/eV per atom. As for the symmetry: F-43m (216).

model one ends up most stable, edging out the next structure by 1.9 kJ/mol of atoms.

Model one:
Density functional theory data (PBE-GGA) for a relaxed Fe2CoTc crystal.

Cell lengths 4.4493, 4.4493, 4.4345 Å; angles 80.47, 80.47, 33.76 degrees
Last column: nearest neighbours and their distance in Å.
Element x y z (fractional)
Fe 0.9958 0.9958 0.0022  3 Co 2.52-2.61, 4 Tc 2.54-2.59, 5 Fe 2.55-2.58
Fe 0.7470 0.7470 0.7560  3 Tc 2.54-2.64, 4 Co 2.55-2.59, 5 Fe 2.55-2.58
Co 0.2528 0.2528 0.2485  7 Fe 2.52-2.61, 3 Tc 2.56, 2 Co 2.58
Tc 0.5044 0.5044 0.4932  7 Fe 2.54-2.64, 3 Co 2.56, 2 Tc 2.58

Properties
As for the density of states at the Fermi level: 1.244 states/eV per atom. As for the symmetry: Cm (8).

Model two:
Density functional theory data (PBE-GGA) for a relaxed Fe2CoTc crystal.

Cell lengths 8.4048, 8.4048, 8.4048 Å; angles 17.86, 17.86, 17.86 degrees
Last column: nearest neighbours and their distance in Å.
Element x y z (fractional)
Tc 0.5012 0.5012 0.5012  3 Fe 2.57, 6 Tc 2.61, 3 Co 2.66
Fe 0.2520 0.2520 0.2520  9 Fe 2.53-2.61, 3 Tc 2.57
Fe 0.0004 0.0004 0.0004  3 Co 2.48, 9 Fe 2.53-2.61
Co 0.7464 0.7464 0.7464  3 Fe 2.48, 6 Co 2.61, 3 Tc 2.66

Properties
As for the density of states at the Fermi level: 1.315 states/eV per atom. As for the symmetry: R3m (160).

Model three:
Density functional theory data (PBE-GGA) for a relaxed Fe2CoTc crystal.

Cell lengths 2.5672, 3.5921, 5.0912 Å; angles 90.00, 90.00, 90.00 degrees
Last column: nearest neighbours and their distance in Å.
Element x y z (fractional)
Fe 0.0000 0.0000 0.9978  4 Co 2.52, 6 Fe 2.54-2.57, 2 Tc 2.54-2.55
Fe 0.5000 0.5000 0.2443  2 Co 2.47-2.62, 6 Fe 2.54-2.57, 4 Tc 2.56
Co 0.5000 0.5000 0.7597  6 Fe 2.47-2.62, 2 Co 2.57, 4 Tc 2.58
Tc 0.0000 0.0000 0.4982  6 Fe 2.54-2.56, 2 Tc 2.57, 4 Co 2.58

Properties
As for the density of states at the Fermi level: 1.207 states/eV per atom. As for the symmetry: Pmm2 (25).

model three ends up most stable, edging out the next structure by 1.1 kJ/mol of atoms.